Crystalline InCo2F at its relaxed geometry. Source: the Alexandria database, functional GGA+U.

abc: 4.4526 4.4526 4.4526
angles: 60.00 60.00 60.00
With the nearest neighbours (Å) after each atom.
Element x y z (fractional)
F1 0.0000 0.0000 0.0000  8 Co 2.73
Co1 0.2500 0.2500 0.2500  4 In 2.73, 4 F 2.73
Co2 0.7500 0.7500 0.7500  4 In 2.73, 4 F 2.73
In1 0.5000 0.5000 0.5000  8 Co 2.73

Values from the calculation:
Energy above the lowest structure with this stoichiometry   360.4 meV per atom
Electronic total energy   -3.43 eV/atom
Space-group type   No. 225
M_tot   4.00 Bohr magnetons per cell